1.
# RbCaY3, relaxed, DFT PBE
# **Crystal system**: cubic
# **Energy relative to the elements**: 1.0403 eV per atom
# **ΔE to the lowest computed polymorph**: 98 meV per atom
data_RbCaY3
_chemical_formula_sum 'Rb1 Ca1 Y3'
_cell_length_a 5.679
_cell_length_b 5.679
_cell_length_c 5.679
_cell_angle_alpha 90.00
_cell_angle_beta 90.00
_cell_angle_gamma 90.00
_space_group_name_H-M_alt 'P m -3 m'
_space_group_IT_number 221
_space_group_name_Hall '-P 4 2 3'
loop_
_atom_site_label
_atom_site_fract_x
_atom_site_fract_y
_atom_site_fract_z
Rb1 0.000 0.000 0.000
Ca1 0.500 0.500 0.500
Y1 0.000 0.000 0.500


2.
# YMnSe2Br, relaxed, DFT PBE
# **Formation energy without anion corrections**: -0.6269 eV per atom
# **Crystal system**: tetragonal
# **ΔE to the lowest computed polymorph**: 0 meV per atom
data_YMnSe2Br
_chemical_formula_sum 'Y1 Mn1 Se2 Br1'
_cell_length_a 4.989
_cell_length_b 4.989
_cell_length_c 4.831
_cell_angle_alpha 90.00
_cell_angle_beta 90.00
_cell_angle_gamma 90.00
_space_group_name_H-M_alt 'P 4/m m m'
_space_group_IT_number 123
_space_group_name_Hall '-P 4 2'
loop_
_atom_site_label
_atom_site_fract_x
_atom_site_fract_y
_atom_site_fract_z
Y1 0.000 0.000 0.000
Mn1 0.500 0.500 0.500
Se1 0.000 0.500 0.500
Br1 0.500 0.500 0.000


3.
# TaCd3Pt, relaxed, DFT PBE
# **Crystal system**: cubic
# **Energy relative to the elements**: 1.6054 eV per atom
# **ΔE to the lowest computed polymorph**: 611 meV per atom
data_TaCd3Pt
_chemical_formula_sum 'Ta1 Cd3 Pt1'
_cell_length_a 5.315
_cell_length_b 5.315
_cell_length_c 5.315
_cell_angle_alpha 90.00
_cell_angle_beta 90.00
_cell_angle_gamma 90.00
_space_group_name_H-M_alt 'P m -3 m'
_space_group_IT_number 221
_space_group_name_Hall '-P 4 2 3'
loop_
_atom_site_label
_atom_site_fract_x
_atom_site_fract_y
_atom_site_fract_z
Ta1 0.000 0.000 0.000
Cd1 0.000 0.000 0.500
Pt1 0.500 0.500 0.500


4.
# CuGe2Br8, relaxed, DFT PBE
# **Formation energy without anion corrections**: -0.4139 eV per atom
# **Crystal system**: monoclinic
data_CuGe2Br8
_chemical_formula_sum 'Cu2 Ge4 Br16'
_cell_length_a 13.116
_cell_length_b 9.612
_cell_length_c 6.790
_cell_angle_alpha 90.00
_cell_angle_beta 92.56
_cell_angle_gamma 90.00
_space_group_name_H-M_alt 'C 1 2/m 1'
_space_group_IT_number 12
_space_group_name_Hall '-C 2y'
loop_
_atom_site_label
_atom_site_fract_x
_atom_site_fract_y
_atom_site_fract_z
Cu1 0.000 0.000 0.000
Ge1 0.191 0.000 0.671
Br1 0.105 0.192 0.829
Br2 0.131 0.500 0.247
Br3 0.155 0.000 0.321


no.,D(E_F) (states/eV/atom),raw total energy (eV per cell)
1,0.32,-17.2
2,0.44,-27.4
3,1.26,-12.6
4,0.46,-62.5